# 1
Material: VNi3Pd6
Method: DFT, PBE-GGA
State: optimized geometry

Calculated values
ρ (Mg/m³): 10.0
Crystal system: trigonal
Energy of formation (eV/atom): -0.0039

Lattice parameters (Å, degrees): 9.4436 9.4436 11.1952 90.00 90.00 120.00
With the nearest neighbours (Å) after each atom.
Space group R-3 (No. 148, hexagonal axes)
Unique sites:
V: 0.0000 0.0000 0.0000 (multiplicity 3)  6 Pd 2.42
V: 0.0000 0.0000 0.5000 (multiplicity 3)  6 Ni 2.41, 6 Pd 2.70
Ni: 0.0512 0.5869 0.2017 (multiplicity 18)  1 V 2.41, 2 Ni 2.50, 4 Pd 2.53-2.70
Pd: 0.0464 0.8604 0.3051 (multiplicity 18)  6 Pd 2.64-2.93, 5 Ni 2.70-2.85, 1 V 2.70
Pd: 0.0625 0.2653 0.9237 (multiplicity 18)  1 V 2.42, 3 Ni 2.53-2.67, 1 Pd 2.66

# 2
Material: TiInRh2
Method: DFT, PBE-GGA
State: optimized geometry

Calculated values
ρ (Mg/m³): 8.6
Crystal system: tetragonal
Energy of formation (eV/atom): -0.2184

Lattice parameters (Å, degrees): 6.9883 6.9883 5.7982 90.00 90.00 90.00
With the nearest neighbours (Å) after each atom.
Space group I-42d (No. 122)
Unique sites:
Ti: 0.0000 0.0000 0.0000 (multiplicity 4)  4 Rh 2.39
In: 0.0000 0.0000 0.5000 (multiplicity 4)  4 Rh 2.77, 2 Ti 2.90
Rh: 0.2102 0.7500 0.1250 (multiplicity 8)  2 Ti 2.39

# 3
Material: ErHfAlPd
Method: DFT, PBE-GGA
State: optimized geometry

Calculated values
ρ (Mg/m³): 9.7
Crystal system: cubic
Energy of formation (eV/atom): -0.4232

Lattice parameters (Å, degrees): 6.8934 6.8934 6.8934 90.00 90.00 90.00
With the nearest neighbours (Å) after each atom.
Space group F-43m (No. 216)
Unique sites:
Er: 0.0000 0.0000 0.0000 (multiplicity 4)  4 Al 2.98, 4 Pd 2.98
Hf: 0.0000 0.0000 0.5000 (multiplicity 4)  4 Pd 2.98, 4 Al 2.98
Al: 0.2500 0.2500 0.2500 (multiplicity 4)  4 Hf 2.98, 4 Er 2.98
Pd: 0.2500 0.2500 0.7500 (multiplicity 4)  4 Hf 2.98, 4 Er 2.98

# 4
Material: CaAcP2
Method: DFT, PBE-GGA
State: optimized geometry

Calculated values
ρ (Mg/m³): 5.5
Excess energy over the best structure of this formula in the dataset (meV per atom): 137
Crystal system: cubic
Energy of formation (eV/atom): -0.9375

Lattice parameters (Å, degrees): 7.3355 7.3355 7.3355 90.00 90.00 90.00
With the nearest neighbours (Å) after each atom.
Space group Fm-3m (No. 225)
Unique sites:
Ca: 0.0000 0.0000 0.0000 (multiplicity 4)  8 P 3.18
Ac: 0.0000 0.0000 0.5000 (multiplicity 4)  8 P 3.18
P: 0.2500 0.2500 0.2500 (multiplicity 8)  4 Ac 3.18, 4 Ca 3.18

# 5
Material: Ba6Nb2IrCl2O12
Method: DFT, PBE-GGA
State: optimized geometry

Calculated values
ρ (Mg/m³): 5.1
Crystal system: trigonal
Uncorrected formation energy (eV/atom): -2.512

Lattice parameters (Å, degrees): 6.0395 6.0395 15.0239 90.00 90.00 120.00
With the nearest neighbours (Å) after each atom.
Space group P-3m1 (No. 164)
Unique sites:
Ba: 0.3333 0.6667 0.0711 (multiplicity 2)  12 O 2.97-3.14
Ba: 0.3333 0.6667 0.3650 (multiplicity 2)  3 O 2.57
Ba: 0.3333 0.6667 0.7921 (multiplicity 2)  3 O 2.66
Nb: 0.0000 0.0000 0.1863 (multiplicity 2)  3 O 1.90
Ir: 0.0000 0.0000 0.0000 (multiplicity 1)  6 O 2.03
Cl: 0.3333 0.6667 0.5800 (multiplicity 2)  2 Ba 3.19-3.23
O: 0.1543 0.3085 0.9175 (multiplicity 6)  1 Ir 2.03, 1 Nb 2.24
O: 0.1624 0.3248 0.2425 (multiplicity 6)  1 Nb 1.90

# 6
Material: ZnI2Cl
Method: DFT, PBE-GGA
State: optimized geometry

Calculated values
ρ (Mg/m³): 4.0
Excess energy over the best structure of this formula in the dataset (meV per atom): 0
Crystal system: tetragonal
Uncorrected formation energy (eV/atom): -0.173

Lattice parameters (Å, degrees): 7.6538 7.6538 10.1354 90.00 90.00 90.00
With the nearest neighbours (Å) after each atom.
Space group I-42d (No. 122)
Unique sites:
Zn: 0.0000 0.0000 0.0000 (multiplicity 4)  4 I 2.66
I: 0.1763 0.2500 0.1250 (multiplicity 8)  2 Zn 2.66
Cl: 0.0000 0.0000 0.5000 (multiplicity 4)  4 I 3.38

| no. | uncorrected energy (eV per atom) | V (Å³ per atom) | M_tot (μB/f.u.) |
| --- | --- | --- | --- |
| 1 | -5.77 | 14.411 | 0.72 |
| 2 | -6.55 | 17.697 | 0.00 |
| 3 | -6.29 | 20.473 | 0.34 |
| 4 | -5.17 | 24.670 | 0.00 |
| 5 | -7.02 | 20.634 | 1.05 |
| 6 | -1.73 | 37.108 | 1.00 |